Cu2Ag2B | PBE | relaxed

a b c (Å): 3.666 3.666 6.747
angles (deg): 74.24 74.24 90.00
Fractional coordinates of all 5 atoms:
B: 0.000 0.000 0.000
Cu: 0.409 0.409 0.183
Cu: 0.591 0.591 0.817
Ag: 0.750 0.250 0.500
Ag: 0.250 0.750 0.500

Results
Fermi-level density of states in states/eV/cell: 2.05
Total magnetization in μB per atom: 0.00
E_form in eV per atom: 1.13
SG: I4/mmm, No. 139
Energy above the lowest structure with this stoichiometry in kcal/mol of atoms: 16.862